# 1
Ac5LaPm2: relaxed, PBE.

## Properties
Size of the total moment = 0.00 Bohr magnetons per cell
Formation enthalpy at 0 K = 0.102 eV/atom
Energy above the lowest structure with this stoichiometry = 51 meV per atom

```
data_Ac5LaPm2
_chemical_formula_sum 'Ac20 La4 Pm8'
_space_group_name_H-M_alt 'C m c m'
_space_group_IT_number 63
_space_group_name_Hall '-C 2c 2'
_cell_length_a 5.820
_cell_length_b 12.644
_cell_length_c 18.131
_cell_angle_alpha 90.00
_cell_angle_beta 90.00
_cell_angle_gamma 90.00
loop_
_atom_site_label
_atom_site_fract_x
_atom_site_fract_y
_atom_site_fract_z
_atom_site_occupancy
Ac1 0.000 0.009 0.250 1
Ac2 0.000 0.145 0.542 1
Ac3 0.000 0.449 0.600 1
La1 0.000 0.264 0.750 1
Pm1 0.000 0.259 0.146 1
```

# 2
Y2AgP: relaxed, PBE.

## Properties
Size of the total moment = 3.62 Bohr magnetons per cell
Formation enthalpy at 0 K = -0.390 eV/atom

```
data_Y2AgP
_chemical_formula_sum 'Y6 Ag3 P3'
_space_group_name_H-M_alt 'R 3 m'
_space_group_IT_number 160
_space_group_name_Hall 'R 3 -2"'
_cell_length_a 4.1030
_cell_length_b 4.1030
_cell_length_c 21.0979
_cell_angle_alpha 90.00
_cell_angle_beta 90.00
_cell_angle_gamma 120.00
loop_
_atom_site_label
_atom_site_fract_x
_atom_site_fract_y
_atom_site_fract_z
_atom_site_occupancy
Y1 0.0000 0.0000 0.0000 1
Y2 0.0000 0.0000 0.1958 1
Ag1 0.0000 0.0000 0.7555 1
P1 0.0000 0.0000 0.4499 1
```

# 3
LaErNpO6: relaxed, PBE.

## Properties
Size of the total moment = 2.00 Bohr magnetons per cell
ΔE_f (raw) = -3.250 eV/atom

```
data_LaErNpO6
_chemical_formula_sum 'La2 Er2 Np2 O12'
_space_group_name_H-M_alt 'P -3 1 c'
_space_group_IT_number 163
_space_group_name_Hall '-P 3 2c'
_cell_length_a 5.7684
_cell_length_b 5.7684
_cell_length_c 9.9676
_cell_angle_alpha 90.00
_cell_angle_beta 90.00
_cell_angle_gamma 120.00
loop_
_atom_site_label
_atom_site_fract_x
_atom_site_fract_y
_atom_site_fract_z
_atom_site_occupancy
La1 0.0000 0.0000 0.0000 1
Er1 0.3333 0.6667 0.2500 1
Np1 0.3333 0.6667 0.7500 1
O1 0.0224 0.3669 0.6389 1
```

# 4
SmNp3Se6: relaxed, PBE.

## Properties
Size of the total moment = 8.04 Bohr magnetons per cell
ΔE_f (raw) = -1.286 eV/atom

```
data_SmNp3Se6
_chemical_formula_sum 'Sm2 Np6 Se12'
_space_group_name_H-M_alt 'P 1 21/m 1'
_space_group_IT_number 11
_space_group_name_Hall '-P 2yb'
_cell_length_a 11.483
_cell_length_b 4.124
_cell_length_c 12.064
_cell_angle_alpha 90.00
_cell_angle_beta 107.91
_cell_angle_gamma 90.00
loop_
_atom_site_label
_atom_site_fract_x
_atom_site_fract_y
_atom_site_fract_z
_atom_site_occupancy
Sm1 0.046 0.250 0.194 1
Np1 0.155 0.250 0.580 1
Np2 0.316 0.750 0.998 1
Np3 0.433 0.250 0.335 1
Se1 0.087 0.750 0.403 1
Se2 0.115 0.250 0.963 1
Se3 0.193 0.750 0.747 1
Se4 0.257 0.750 0.225 1
Se5 0.396 0.250 0.560 1
Se6 0.485 0.250 0.117 1
```

# 5
Th2HgPtAu: relaxed, PBE.

## Properties
Size of the total moment = 0.00 Bohr magnetons per cell
Formation enthalpy at 0 K = -0.660 eV/atom

```
data_Th2HgPtAu
_chemical_formula_sum 'Th4 Hg2 Pt2 Au2'
_space_group_name_H-M_alt 'P 1 21/m 1'
_space_group_IT_number 11
_space_group_name_Hall '-P 2yb'
_cell_length_a 7.434
_cell_length_b 4.615
_cell_length_c 7.629
_cell_angle_alpha 90.00
_cell_angle_beta 107.98
_cell_angle_gamma 90.00
loop_
_atom_site_label
_atom_site_fract_x
_atom_site_fract_y
_atom_site_fract_z
_atom_site_occupancy
Th1 0.022 0.250 0.194 1
Th2 0.352 0.750 0.634 1
Hg1 0.337 0.750 0.204 1
Pt1 0.082 0.250 0.599 1
Au1 0.325 0.250 0.961 1
```

# 6
Ca3BCNCl2: relaxed, PBE.

## Properties
Size of the total moment = 0.00 Bohr magnetons per cell
ΔE_f (raw) = -1.360 eV/atom

```
data_Ca3BCNCl2
_chemical_formula_sum 'Ca12 B4 C4 N4 Cl8'
_space_group_name_H-M_alt 'P n m a'
_space_group_IT_number 62
_space_group_name_Hall '-P 2ac 2n'
_cell_length_a 14.128
_cell_length_b 3.847
_cell_length_c 11.175
_cell_angle_alpha 90.00
_cell_angle_beta 90.00
_cell_angle_gamma 90.00
loop_
_atom_site_label
_atom_site_fract_x
_atom_site_fract_y
_atom_site_fract_z
_atom_site_occupancy
Ca1 0.098 0.250 0.143 1
Ca2 0.135 0.750 0.431 1
Ca3 0.192 0.750 0.798 1
B1 0.242 0.750 0.098 1
C1 0.202 0.750 0.217 1
N1 0.225 0.250 0.483 1
Cl1 0.013 0.750 0.641 1
Cl2 0.060 0.250 0.896 1
```

# 7
CrRhCl2: relaxed, PBE.

## Properties
Size of the total moment = 6.25 Bohr magnetons per cell
ΔE_f (raw) = -0.222 eV/atom
Energy above the lowest structure with this stoichiometry = 1 meV per atom

```
data_CrRhCl2
_chemical_formula_sum 'Cr2 Rh2 Cl4'
_space_group_name_H-M_alt 'C 1 2/m 1'
_space_group_IT_number 12
_space_group_name_Hall '-C 2y'
_cell_length_a 12.557
_cell_length_b 3.180
_cell_length_c 4.445
_cell_angle_alpha 90.00
_cell_angle_beta 98.69
_cell_angle_gamma 90.00
loop_
_atom_site_label
_atom_site_fract_x
_atom_site_fract_y
_atom_site_fract_z
_atom_site_occupancy
Cr1 0.000 0.000 0.000 1
Rh1 0.000 0.500 0.500 1
Cl1 0.135 0.500 0.200 1
```

# 8
Li2GeRu: relaxed, PBE.

## Properties
Size of the total moment = 0.00 Bohr magnetons per cell
Formation enthalpy at 0 K = 0.107 eV/atom

```
data_Li2GeRu
_chemical_formula_sum 'Li8 Ge4 Ru4'
_space_group_name_H-M_alt 'I -4 2 d'
_space_group_IT_number 122
_space_group_name_Hall 'I -4 2bw'
_cell_length_a 6.881
_cell_length_b 6.881
_cell_length_c 4.848
_cell_angle_alpha 90.00
_cell_angle_beta 90.00
_cell_angle_gamma 90.00
loop_
_atom_site_label
_atom_site_fract_x
_atom_site_fract_y
_atom_site_fract_z
_atom_site_occupancy
Li1 0.248 0.250 0.125 1
Ge1 0.000 0.000 0.000 1
Ru1 0.000 0.000 0.500 1
```

# 9
TaBOsRu2: relaxed, PBE.

## Properties
Size of the total moment = 0.00 Bohr magnetons per cell
Formation enthalpy at 0 K = -0.280 eV/atom

```
data_TaBOsRu2
_chemical_formula_sum 'Ta1 B1 Os1 Ru2'
_space_group_name_H-M_alt 'P 4/m m m'
_space_group_IT_number 123
_space_group_name_Hall '-P 4 2'
_cell_length_a 4.073
_cell_length_b 4.073
_cell_length_c 4.105
_cell_angle_alpha 90.00
_cell_angle_beta 90.00
_cell_angle_gamma 90.00
loop_
_atom_site_label
_atom_site_fract_x
_atom_site_fract_y
_atom_site_fract_z
_atom_site_occupancy
Ta1 0.000 0.000 0.000 1
B1 0.500 0.500 0.500 1
Os1 0.500 0.500 0.000 1
Ru1 0.000 0.500 0.500 1
```

# 10
KAlPb: relaxed, PBE.

## Properties
Size of the total moment = 0.00 Bohr magnetons per cell
Formation enthalpy at 0 K = 0.105 eV/atom

```
data_KAlPb
_chemical_formula_sum 'K4 Al4 Pb4'
_space_group_name_H-M_alt 'F m m 2'
_space_group_IT_number 42
_space_group_name_Hall 'F 2 -2'
_cell_length_a 4.758
_cell_length_b 5.097
_cell_length_c 15.025
_cell_angle_alpha 90.00
_cell_angle_beta 90.00
_cell_angle_gamma 90.00
loop_
_atom_site_label
_atom_site_fract_x
_atom_site_fract_y
_atom_site_fract_z
_atom_site_occupancy
K1 0.000 0.000 0.000 1
Al1 0.000 0.000 0.326 1
Pb1 0.000 0.000 0.693 1
```

# 11
Mg5Sc2Ag: relaxed, PBE.

## Properties
Size of the total moment = 0.00 Bohr magnetons per cell
Formation enthalpy at 0 K = 0.306 eV/atom

```
data_Mg5Sc2Ag
_chemical_formula_sum 'Mg5 Sc2 Ag1'
_space_group_name_H-M_alt 'P 4/m m m'
_space_group_IT_number 123
_space_group_name_Hall '-P 4 2'
_cell_length_a 6.552
_cell_length_b 6.552
_cell_length_c 4.875
_cell_angle_alpha 90.00
_cell_angle_beta 90.00
_cell_angle_gamma 90.00
loop_
_atom_site_label
_atom_site_fract_x
_atom_site_fract_y
_atom_site_fract_z
_atom_site_occupancy
Mg1 0.000 0.000 0.000 1
Mg2 0.279 0.279 0.500 1
Sc1 0.000 0.500 0.000 1
Ag1 0.000 0.000 0.500 1
```

# 12
Pm4SmHo3: relaxed, PBE.

## Properties
Size of the total moment = 0.00 Bohr magnetons per cell
Formation enthalpy at 0 K = 0.205 eV/atom
Energy above the lowest structure with this stoichiometry = 179 meV per atom

```
data_Pm4SmHo3
_chemical_formula_sum 'Pm8 Sm2 Ho6'
_space_group_name_H-M_alt 'C m m m'
_space_group_IT_number 65
_space_group_name_Hall '-C 2 2'
_cell_length_a 5.717
_cell_length_b 26.115
_cell_length_c 3.617
_cell_angle_alpha 90.00
_cell_angle_beta 90.00
_cell_angle_gamma 90.00
loop_
_atom_site_label
_atom_site_fract_x
_atom_site_fract_y
_atom_site_fract_z
_atom_site_occupancy
Pm1 0.000 0.104 0.000 1
Pm2 0.000 0.224 0.000 1
Sm1 0.000 0.000 0.500 1
Ho1 0.000 0.348 0.500 1
Ho2 0.000 0.500 0.000 1
```